# BaAgF2

A geometry-optimized BaAgF2 structure (PBE, Alexandria).

The size of the total moment comes out at 0.00 μB per formula unit. Its energy above the most stable polymorph in this dataset is 0 meV per atom. As for the uncorrected formation energy: -2.33 eV/atom.

Cell: 7.8492 7.8492 7.8492 Å, 30.88 30.88 30.88°
Closest atoms and distances in Å follow each position.
Fractional positions:
F1 0.1218 0.1218 0.1218  3 Ba 2.61, 1 Ag 2.73
F2 0.8782 0.8782 0.8782  3 Ba 2.61, 1 Ag 2.73
Ba1 0.5000 0.5000 0.5000  6 F 2.61
Ag1 0.0000 0.0000 0.0000  2 F 2.73